[1]
First-principles (PBE-GGA) data for crystalline SnSe2BrO at its relaxed geometry, as listed in Alexandria.

## Properties
total DFT energy (no corrections): -3.478 eV per atom
energy above the most stable polymorph in this dataset: 0 meV/atom
symmetry: P4/mmm, No. 123
Fermi-level density of states: 3.62 states/eV/cell
crystal system: tetragonal

POSCAR file:
```
SnSe2BrO
1.0
4.256 0.000 0.000
0.000 4.256 0.000
0.000 0.000 6.093
Sn Se Br O
1 2 1 1
Cartesian
0.000 0.000 0.000
0.000 2.128 3.046
2.128 0.000 3.046
2.128 2.128 0.000
2.128 2.128 3.046
```



[2]
First-principles (PBE-GGA) data for crystalline Li2SbH at its relaxed geometry, as listed in Alexandria.

## Properties
total DFT energy (no corrections): -3.011 eV per atom
energy above the most stable polymorph in this dataset: 180 meV/atom
symmetry: P4/mmm, No. 123
Fermi-level density of states: 0.37 states/eV/cell
crystal system: tetragonal

POSCAR file:
```
Li2SbH
1.0
3.022 0.000 0.000
0.000 3.022 0.000
0.000 0.000 7.139
Li Sb H
2 1 1
Cartesian
0.000 0.000 1.349
0.000 0.000 5.790
1.511 1.511 3.569
1.511 1.511 0.000
```



[3]
First-principles (PBE-GGA) data for crystalline La2PrNd5Er at its relaxed geometry, as listed in Alexandria.

## Properties
total DFT energy (no corrections): -4.535 eV per atom
symmetry: I4/mcm, No. 140
Fermi-level density of states: 28.81 states/eV/cell
crystal system: tetragonal
ΔE_f: 0.247 eV/atom

POSCAR file:
```
La2PrNd5Er
1.0
-4.412 4.412 8.215
4.412 -4.412 8.215
4.412 4.412 -8.215
La Pr Nd Er
4 2 10 2
Cartesian
5.463 1.051 0.000
1.051 3.361 0.000
3.361 1.051 8.215
-1.051 3.361 8.215
0.000 0.000 4.107
0.000 0.000 12.322
0.000 0.000 0.000
2.486 1.925 -2.340
2.486 -1.925 5.875
2.486 1.925 2.340
2.486 -1.925 10.555
0.000 0.000 8.215
1.925 6.337 -2.340
1.925 2.486 5.875
1.925 6.337 2.340
1.925 2.486 10.555
4.412 0.000 4.107
0.000 4.412 4.107
```